Pm12MgTl4O3: optimized geometry, GGA-PBE.

Cell lengths 8.867, 8.867, 8.867 Å; angles 109.47, 109.47, 109.47 degrees
Sites, in units of the cell vectors:
Pm: 0.728 0.728 0.000
Pm: 0.272 0.272 0.000
Tl: 0.000 0.500 0.000
Pm: 0.500 0.250 0.750
Pm: 0.272 0.000 0.272
O: 0.500 0.000 0.500
Pm: 0.750 0.250 0.500
Pm: 0.000 0.272 0.272
Pm: 0.250 0.750 0.500
Pm: 0.728 0.000 0.728
Pm: 0.750 0.500 0.250
O: 0.500 0.500 0.000
Tl: 0.000 0.000 0.500
Tl: 0.500 0.500 0.500
Tl: 0.500 0.000 0.000
Mg: 0.000 0.000 0.000
Pm: 0.250 0.500 0.750
Pm: 0.000 0.728 0.728
Pm: 0.500 0.750 0.250
O: 0.000 0.500 0.500

The value obtained for the volume is 536.6 Å³ per cell. The value obtained for the energy relative to the elements, uncorrected is -843 meV/atom.

Pm3Sm4Tl: optimized geometry, GGA-PBE.

Cell lengths 4.228, 4.228, 14.518 Å; angles 90.00, 90.00, 90.00 degrees
Sites, in units of the cell vectors:
Sm: 0.000 0.000 0.370
Tl: 0.500 0.500 0.000
Pm: 0.500 0.500 0.500
Sm: 0.000 0.000 0.630
Pm: 0.500 0.500 0.248
Sm: 0.000 0.000 0.112
Pm: 0.500 0.500 0.752
Sm: 0.000 0.000 0.888

The energy above the most stable polymorph in this dataset is 70 meV/atom. The value obtained for the volume is 259.6 Å³ per cell.

Mg5Mn2N5: optimized geometry, GGA-PBE.

Cell lengths 4.994, 5.735, 5.735 Å; angles 79.07, 64.19, 64.19 degrees
Each line ends with the local moment (μB).
Sites, in units of the cell vectors:
N: 0.004 0.704 0.296  0.03
Mg: 0.876 0.000 0.000  0.00
Mg: 0.521 0.619 0.000  0.01
Mg: 0.521 0.000 0.619  0.01
N: 0.300 0.704 0.704  0.03
Mg: 0.140 0.000 0.381  0.01
N: 0.708 0.296 0.296  0.03
N: 0.004 0.296 0.704  0.03
Mn: 0.758 0.500 0.500  1.41
Mn: 0.258 0.500 0.500  1.41
Mg: 0.140 0.381 0.000  0.01
N: 0.465 0.000 0.000  0.01

The value obtained for the volume is 133.1 Å³ per cell. The value obtained for the energy relative to the elements, uncorrected is -403 meV/atom.

Li2SiPb: optimized geometry, GGA-PBE.

Cell lengths 4.607, 4.607, 3.497 Å; angles 90.00, 90.00, 90.00 degrees
Sites, in units of the cell vectors:
Li: 0.000 0.000 0.000
Pb: 0.500 0.000 0.500
Si: 0.000 0.500 0.500
Li: 0.500 0.500 0.000

The energy above the most stable polymorph in this dataset is 36 meV/atom. The value obtained for the volume is 74.2 Å³ per cell. The value obtained for the energy relative to the elements, uncorrected is -48 meV/atom.

V3Co2Ni3: optimized geometry, GGA-PBE.

Cell lengths 4.096, 4.159, 6.153 Å; angles 108.70, 109.44, 90.00 degrees
Each line ends with the local moment (μB).
Sites, in units of the cell vectors:
Ni: 0.375 0.907 0.750  0.03
V: 0.860 0.311 0.720  -0.07
Ni: 0.500 0.500 0.000  -0.02
Ni: 0.625 0.093 0.250  0.03
V: 0.000 0.000 0.000  0.11
V: 0.140 0.689 0.280  -0.07
Co: 0.253 0.305 0.506  0.27
Co: 0.747 0.695 0.494  0.27

The energy above the most stable polymorph in this dataset is 6 meV/atom. The value obtained for the volume is 93.0 Å³ per cell.

SmPaSb: optimized geometry, GGA-PBE.

Cell lengths 3.432, 5.343, 5.343 Å; angles 120.00, 90.00, 90.00 degrees
Each line ends with the local moment (μB).
Sites, in units of the cell vectors:
Sm: 0.597 0.667 0.333  0.15
Sb: 0.340 0.333 0.667  0.00
Pa: 0.063 0.000 0.000  1.03

The energy above the most stable polymorph in this dataset is 620 meV/atom. The value obtained for the volume is 84.8 Å³ per cell. The value obtained for the energy relative to the elements, uncorrected is -22 meV/atom.

SmHo7Hg2: optimized geometry, GGA-PBE.

Cell lengths 5.326, 8.811, 8.811 Å; angles 118.04, 90.00, 90.00 degrees
Each line ends with the local moment (μB).
Sites, in units of the cell vectors:
Ho: 0.000 0.762 0.238  0.17
Ho: 0.500 0.500 0.500  0.13
Hg: 0.500 0.694 0.306  0.02
Ho: 0.000 0.238 0.762  0.17
Ho: 0.500 0.305 0.061  0.24
Ho: 0.500 0.695 0.939  0.24
Ho: 0.500 0.939 0.695  0.24
Sm: 0.000 0.000 0.000  0.18
Hg: 0.500 0.306 0.694  0.02
Ho: 0.500 0.061 0.305  0.24

The value obtained for the volume is 365.0 Å³ per cell. The calculation puts the total energy at -3.451 eV/atom.

LaSeIO4: optimized geometry, GGA-PBE.

Cell lengths 6.614, 6.614, 7.153 Å; angles 78.73, 78.73, 67.98 degrees
Sites, in units of the cell vectors:
La: 0.754 0.754 0.154
Se: 0.633 0.633 0.743
La: 0.246 0.246 0.846
I: 0.974 0.974 0.754
O: 0.142 0.491 0.141
O: 0.298 0.298 0.490
O: 0.521 0.521 0.224
O: 0.702 0.702 0.510
O: 0.491 0.142 0.141
O: 0.858 0.509 0.859
Se: 0.367 0.367 0.257
O: 0.479 0.479 0.776
I: 0.026 0.026 0.246
O: 0.509 0.858 0.859

The value obtained for the volume is 281.9 Å³ per cell. The value obtained for the energy relative to the elements, uncorrected is -1546 meV/atom.

Question: Look up the volume of the seventh one.
Answer: 365.0 Å³ per cell